1.
PaMnPt3 | PBE | relaxed

Properties
ρ, g cm⁻³: 15.610
Energy relative to the elements, eV/atom: -0.59

abc: 6.4189 6.4189 5.1945
angles: 90.00 90.00 120.00
With the nearest neighbours (Å) after each atom.
Space group P6_3/mmc (No. 194)
One atom of each set of equivalent atoms:
Pa 0.3333 0.6667 0.2500 [2 per cell]  12 Pt 3.02-3.22
Mn 0.0000 0.0000 0.0000 [2 per cell]  6 Pt 2.52, 2 Mn 2.60
Pt 0.1947 0.3893 0.7500 [6 per cell]  2 Mn 2.52, 2 Pt 2.67

2.
Th8Si3Te4Os | PBE | relaxed

Properties
Formation energy from raw total energies, kJ/mol of atoms: -89.3
ρ, g cm⁻³: 9.193

abc: 8.6394 8.6394 22.1421
angles: 90.00 90.00 120.00
With the nearest neighbours (Å) after each atom.
Space group R-3m (No. 166, hexagonal axes)
One atom of each set of equivalent atoms:
Th 0.0000 0.0000 0.2379 [6 per cell]  3 Si 2.95, 3 Te 3.27
Th 0.0122 0.5061 0.2361 [18 per cell]  1 Os 2.85, 2 Si 2.97
Si 0.0000 0.5000 0.5000 [9 per cell]  6 Th 2.95-2.97
Te 0.0000 0.0000 0.0000 [3 per cell]  6 Th 3.36
Te 0.0000 0.5000 0.0000 [9 per cell]  6 Th 3.26-3.27
Os 0.0000 0.0000 0.5000 [3 per cell]  6 Th 2.85

3.
Zr2HgSb | PBE | relaxed

Properties
Formation energy from raw total energies, kJ/mol of atoms: -32.4
ρ, g cm⁻³: 9.436
ΔE to the lowest computed polymorph, eV per atom: 0.018

abc: 6.4984 8.1547 3.3719
angles: 90.00 96.10 90.00
With the nearest neighbours (Å) after each atom.
Space group C2/m (No. 12)
One atom of each set of equivalent atoms:
Zr 0.2500 0.2500 0.0000 [4 per cell]  4 Hg 3.01-3.20, 4 Sb 3.01-3.20, 2 Zr 3.25
Hg 0.0000 0.0000 0.5000 [2 per cell]  8 Zr 3.01-3.20, 2 Sb 3.25
Sb 0.0000 0.5000 0.5000 [2 per cell]  8 Zr 3.01-3.20, 2 Hg 3.25

4.
In4Rh5 | PBE | relaxed

Properties
ρ, g cm⁻³: 10.360
Energy relative to the elements, eV/atom: -0.18
ΔE to the lowest computed polymorph, eV per atom: 0.050

abc: 8.6134 8.6134 4.2075
angles: 90.00 90.00 90.00
With the nearest neighbours (Å) after each atom.
Space group I4/mmm (No. 139)
One atom of each set of equivalent atoms:
In 0.0000 0.3040 0.0000 [8 per cell]  7 Rh 2.62-2.90
Rh 0.0000 0.0000 0.0000 [2 per cell]  4 In 2.62, 8 Rh 2.91
Rh 0.1651 0.1651 0.5000 [8 per cell]  6 In 2.81-2.90, 6 Rh 2.84-2.95

5.
HIrS2N | PBE | relaxed

Properties
ρ, g cm⁻³: 5.172
ΔE to the lowest computed polymorph, eV per atom: 0.000

abc: 4.8805 4.8805 3.6579
angles: 90.00 90.00 90.00
With the nearest neighbours (Å) after each atom.
Space group P4/mmm (No. 123)
One atom of each set of equivalent atoms:
H 0.0000 0.0000 0.0000 [1 per cell]  8 S 3.05
Ir 0.5000 0.5000 0.5000 [1 per cell]  2 N 1.83
S 0.0000 0.5000 0.5000 [2 per cell]  2 Ir 2.44
N 0.5000 0.5000 0.0000 [1 per cell]  2 Ir 1.83

6.
BeBAs2Br | PBE | relaxed

Properties
Formation energy from raw total energies, kJ/mol of atoms: 116.3
ρ, g cm⁻³: 4.165
ΔE to the lowest computed polymorph, eV per atom: 0.049

abc: 4.3920 4.3920 5.1582
angles: 90.00 90.00 90.00
With the nearest neighbours (Å) after each atom.
Space group P4/mmm (No. 123)
One atom of each set of equivalent atoms:
Be 0.0000 0.0000 0.0000 [1 per cell]  4 As 2.20
B 0.5000 0.5000 0.5000 [1 per cell]  4 Br 3.11, 8 As 3.39
As 0.0000 0.5000 0.0000 [2 per cell]  2 Be 2.20
Br 0.0000 0.0000 0.5000 [1 per cell]  2 Be 2.58

7.
Pr4SmHo2Tm | PBE | relaxed

Properties
ρ, g cm⁻³: 7.470
Energy relative to the elements, eV/atom: 0.02

abc: 5.1539 5.1809 10.0965
angles: 90.00 90.00 90.00
With the nearest neighbours (Å) after each atom.
Space group Pmmm (No. 47)
One atom of each set of equivalent atoms:
Pr 0.0000 0.0000 0.2475 [2 per cell]  4 Ho 3.59-3.63, 2 Tm 3.60, 2 Sm 3.62, 4 Pr 3.65
Pr 0.5000 0.5000 0.2479 [2 per cell]  2 Tm 3.59, 4 Ho 3.60-3.62, 2 Sm 3.63, 4 Pr 3.65
Sm 0.5000 0.0000 0.5000 [1 per cell]  8 Pr 3.62-3.63, 4 Ho 3.65
Ho 0.0000 0.5000 0.5000 [1 per cell]  8 Pr 3.62-3.63, 4 Sm 3.65
Ho 0.5000 0.0000 0.0000 [1 per cell]  8 Pr 3.59-3.60, 4 Tm 3.65
Tm 0.0000 0.5000 0.0000 [1 per cell]  8 Pr 3.59-3.60, 4 Ho 3.65

8.
MnNb2B2 | PBE | relaxed

Properties
ρ, g cm⁻³: 6.470
Energy relative to the elements, eV/atom: 0.22
ΔE to the lowest computed polymorph, eV per atom: 0.845

abc: 3.7208 3.7208 9.7280
angles: 90.00 90.00 90.00
With the nearest neighbours (Å) after each atom.
Space group I4/mmm (No. 139)
One atom of each set of equivalent atoms:
Mn 0.0000 0.0000 0.0000 [2 per cell]  8 B 2.75, 8 Nb 3.06
Nb 0.0000 0.5000 0.2500 [4 per cell]  4 B 2.47, 4 Nb 2.63
B 0.0000 0.0000 0.4171 [4 per cell]  1 B 1.61

9.
Hg3Pb7 | PBE | relaxed

Properties
ρ, g cm⁻³: 11.183
Energy relative to the elements, eV/atom: 0.06
ΔE to the lowest computed polymorph, eV per atom: 0.047

abc: 10.8766 10.8766 5.9485
angles: 90.00 90.00 120.00
With the nearest neighbours (Å) after each atom.
Space group P6_3mc (No. 186)
One atom of each set of equivalent atoms:
Hg 0.1918 0.3836 0.0000 [6 per cell]  7 Pb 3.04-3.39
Pb 0.0883 0.5441 0.3312 [6 per cell]  2 Hg 3.19, 3 Pb 3.41
Pb 0.1130 0.2260 0.5131 [6 per cell]  4 Hg 3.15-3.39
Pb 0.3333 0.6667 0.7534 [2 per cell]  3 Hg 3.04

10.
LaCuSb2Pd4 | PBE | relaxed

Properties
Formation energy from raw total energies, kJ/mol of atoms: -55.9
ρ, g cm⁻³: 9.259

abc: 4.5210 4.5210 26.4946
angles: 90.00 90.00 120.00
With the nearest neighbours (Å) after each atom.
Space group R-3m (No. 166, hexagonal axes)
One atom of each set of equivalent atoms:
La 0.0000 0.0000 0.0000 [3 per cell]  6 Pd 3.19, 6 Sb 3.55
Cu 0.0000 0.0000 0.5000 [3 per cell]  8 Pd 2.58-2.72
Sb 0.0000 0.0000 0.2423 [6 per cell]  7 Pd 2.67-2.90
Pd 0.0000 0.0000 0.1384 [6 per cell]  3 Cu 2.72, 4 Sb 2.75-2.90, 3 Pd 3.01
Pd 0.0000 0.0000 0.4027 [6 per cell]  1 Cu 2.58, 3 Sb 2.67

11.
Cs2PbIBr3 | PBE | relaxed

Properties
Formation energy from raw total energies, kJ/mol of atoms: -130.1
ρ, g cm⁻³: 3.987

abc: 6.0080 6.3278 18.3955
angles: 90.00 90.00 90.00
With the nearest neighbours (Å) after each atom.
Space group Immm (No. 71)
One atom of each set of equivalent atoms:
Cs 0.0000 0.0000 0.1430 [4 per cell]  1 Br 3.54
Pb 0.0000 0.0000 0.5000 [2 per cell]  4 Br 3.00-3.03, 2 I 3.16
I 0.0000 0.5000 0.5000 [2 per cell]  2 Pb 3.16
Br 0.0000 0.0000 0.3355 [4 per cell]  1 Pb 3.03
Br 0.0000 0.5000 0.0000 [2 per cell]  2 Pb 3.00

12.
NaCuTe | PBE | relaxed

Properties
Formation energy from raw total energies, kJ/mol of atoms: -45.6
ρ, g cm⁻³: 4.664

abc: 4.4005 4.4005 4.5466
angles: 90.00 90.00 120.00
With the nearest neighbours (Å) after each atom.
Space group P-6m2 (No. 187)
One atom of each set of equivalent atoms:
Na 0.0000 0.0000 0.0000 [1 per cell]  6 Cu 3.41, 6 Te 3.41
Cu 0.6667 0.3333 0.5000 [1 per cell]  3 Te 2.54
Te 0.3333 0.6667 0.5000 [1 per cell]  3 Cu 2.54